A | # NaSb3O8

NaSb3O8 after structural relaxation (PBEsol, Alexandria).

Cell lengths 5.7109, 4.8247, 10.5803 Å; angles 90.00, 97.53, 90.00 degrees
Space group P2_1/c (No. 14)
One atom of each set of equivalent atoms:
Na  0.0000  0.0000  0.0000 (multiplicity 2)
Sb  0.2415  0.0233  0.7497 (multiplicity 4)
Sb  0.5000  0.0000  0.5000 (multiplicity 2)
O  0.0010  0.7061  0.3155 (multiplicity 4)
O  0.2332  0.6484  0.0796 (multiplicity 4)
O  0.2958  0.2078  0.9158 (multiplicity 4)
O  0.4829  0.7244  0.8272 (multiplicity 4)

Output
Volume: 289.00 Å³/cell
ρ: 5.9 g/cm³


B | # NaSb3O8

NaSb3O8 after structural relaxation (PBEsol, Alexandria).

Cell lengths 7.1241, 10.3295, 7.3556 Å; angles 90.00, 90.00, 90.00 degrees
Space group Ibam (No. 72)
One atom of each set of equivalent atoms:
Na  0.0000  0.0000  0.2500 (multiplicity 4)
Sb  0.0000  0.5000  0.2500 (multiplicity 4)
Sb  0.2377  0.2543  0.0000 (multiplicity 8)
O  0.0119  0.1637  0.5000 (multiplicity 8)
O  0.1150  0.4245  0.0000 (multiplicity 8)
O  0.2023  0.3626  0.2939 (multiplicity 16)

Output
Volume: 541.28 Å³/cell
ρ: 6.3 g/cm³


Stability verdict: A, ahead by 0.046 eV/atom


A | # Na2ZnSi2O6

Na2ZnSi2O6 after structural relaxation (PBEsol, Alexandria).

Cell lengths 7.1412, 21.4453, 7.4453 Å; angles 90.00, 90.00, 90.00 degrees
Space group Fdd2 (No. 43)
One atom of each set of equivalent atoms:
Na  0.0173  0.1724  0.0000 (multiplicity 16)
Zn  0.0000  0.0000  0.0229 (multiplicity 8)
Si  0.0361  0.1670  0.5472 (multiplicity 16)
O  0.0292  0.2673  0.1304 (multiplicity 16)
O  0.0465  0.4218  0.6515 (multiplicity 16)
O  0.0975  0.1193  0.7148 (multiplicity 16)

Output
Volume: 1140.21 Å³/cell
ρ: 3.1 g/cm³
D(E_F): 0.00 states/eV/cell


B | # Na2ZnSi2O6

Na2ZnSi2O6 after structural relaxation (PBEsol, Alexandria).

Cell lengths 6.1592, 9.5489, 9.9561 Å; angles 90.00, 92.90, 90.00 degrees
Space group C2/c (No. 15)
One atom of each set of equivalent atoms:
Na  0.0640  0.1752  0.1044 (multiplicity 8)
Zn  0.0000  0.2298  0.7500 (multiplicity 4)
Si  0.1521  0.4860  0.1390 (multiplicity 8)
O  0.0000  0.4076  0.2500 (multiplicity 4)
O  0.0000  0.5000  0.0000 (multiplicity 4)
O  0.1508  0.1208  0.8908 (multiplicity 8)
O  0.2286  0.3610  0.6930 (multiplicity 8)

Output
Volume: 584.81 Å³/cell
ρ: 3.0 g/cm³
D(E_F): 0.00 states/eV/cell


Stability verdict: A, ahead by 0.010 eV/atom


A | # Na3TaO

Na3TaO after structural relaxation (PBEsol, Alexandria).

Cell lengths 5.9151, 5.9151, 5.9151 Å; angles 90.00, 90.00, 90.00 degrees
Space group Pm-3m (No. 221)
One atom of each set of equivalent atoms:
Na  0.0000  0.0000  0.5000 (multiplicity 3)
Ta  0.0000  0.0000  0.0000 (multiplicity 1)
O  0.5000  0.5000  0.5000 (multiplicity 1)

Output
Volume: 206.96 Å³/cell
ρ: 2.1 g/cm³
D(E_F): 16.29 states/eV/cell


B | # Na3TaO

Na3TaO after structural relaxation (PBEsol, Alexandria).

Cell lengths 4.7003, 4.7003, 4.7003 Å; angles 90.00, 90.00, 90.00 degrees
Space group Pm-3m (No. 221)
One atom of each set of equivalent atoms:
Na  0.0000  0.0000  0.5000 (multiplicity 3)
Ta  0.5000  0.5000  0.5000 (multiplicity 1)
O  0.0000  0.0000  0.0000 (multiplicity 1)

Output
Volume: 103.84 Å³/cell
ρ: 4.3 g/cm³
D(E_F): 8.09 states/eV/cell


Stability verdict: B, ahead by 1.245 eV/atom


A | # Na4Ti7O16

Na4Ti7O16 after structural relaxation (PBEsol, Alexandria).

Cell lengths 5.4764, 5.9650, 9.3611 Å; angles 90.00, 90.59, 90.00 degrees
Space group Pm (No. 6)
One atom of each set of equivalent atoms:
Na  0.0000  0.0000  0.0000 (multiplicity 1)
Na  0.0289  0.0000  0.7039 (multiplicity 1)
Na  0.5204  0.2430  0.6004 (multiplicity 2)
Ti  0.0184  0.5000  0.6997 (multiplicity 1)
Ti  0.0941  0.2506  0.4097 (multiplicity 2)
Ti  0.5091  0.2484  0.9150 (multiplicity 2)
Ti  0.5846  0.0000  0.2111 (multiplicity 1)
Ti  0.6212  0.5000  0.1892 (multiplicity 1)
O  0.2422  0.2813  0.7929 (multiplicity 2)
O  0.2581  0.0000  0.4939 (multiplicity 1)
O  0.2621  0.5000  0.5103 (multiplicity 1)
O  0.3798  0.0000  0.0293 (multiplicity 1)
O  0.3916  0.5000  0.0271 (multiplicity 1)
O  0.4241  0.2536  0.2869 (multiplicity 2)
O  0.6678  0.0000  0.8190 (multiplicity 1)
O  0.7205  0.5000  0.8127 (multiplicity 1)
O  0.7414  0.2457  0.0873 (multiplicity 2)
O  0.8992  0.0000  0.3168 (multiplicity 1)
O  0.9008  0.2750  0.5708 (multiplicity 2)
O  0.9231  0.5000  0.3083 (multiplicity 1)

Output
Volume: 305.78 Å³/cell
ρ: 3.7 g/cm³
D(E_F): 0.00 states/eV/cell


B | # Na4Ti7O16

Na4Ti7O16 after structural relaxation (PBEsol, Alexandria).

Cell lengths 6.0960, 6.0070, 9.0068 Å; angles 90.00, 94.35, 90.00 degrees
Space group P2/m (No. 10)
One atom of each set of equivalent atoms:
Na  0.2163  0.0000  0.1177 (multiplicity 2)
Na  0.2422  0.5000  0.3726 (multiplicity 2)
Ti  0.0000  0.0000  0.5000 (multiplicity 1)
Ti  0.2712  0.2549  0.7520 (multiplicity 4)
Ti  0.5000  0.0000  0.5000 (multiplicity 1)
Ti  0.5000  0.5000  0.0000 (multiplicity 1)
O  0.0556  0.0000  0.7216 (multiplicity 2)
O  0.0909  0.5000  0.7136 (multiplicity 2)
O  0.2520  0.2080  0.5114 (multiplicity 4)
O  0.2827  0.2661  0.9529 (multiplicity 4)
O  0.4891  0.0000  0.7189 (multiplicity 2)
O  0.4995  0.5000  0.7780 (multiplicity 2)

Output
Volume: 328.86 Å³/cell
ρ: 3.4 g/cm³
D(E_F): 0.00 states/eV/cell


Stability verdict: B, ahead by 0.026 eV/atom


A | # Na6Ti2O7

Na6Ti2O7 after structural relaxation (PBEsol, Alexandria).

Cell lengths 8.2199, 8.5869, 12.1496 Å; angles 90.00, 105.13, 90.00 degrees
Space group C2/c (No. 15)
One atom of each set of equivalent atoms:
Na  0.0000  0.0000  0.0000 (multiplicity 4)
Na  0.0000  0.0601  0.2500 (multiplicity 4)
Na  0.0944  0.3537  0.5869 (multiplicity 8)
Na  0.2476  0.2769  0.1311 (multiplicity 8)
Ti  0.1523  0.4185  0.3613 (multiplicity 8)
O  0.0000  0.4624  0.7500 (multiplicity 4)
O  0.0515  0.2447  0.3959 (multiplicity 8)
O  0.1578  0.1201  0.6823 (multiplicity 8)
O  0.2028  0.4488  0.9809 (multiplicity 8)

Output
Volume: 827.85 Å³/cell
ρ: 2.8 g/cm³
D(E_F): 0.00 states/eV/cell


B | # Na6Ti2O7

Na6Ti2O7 after structural relaxation (PBEsol, Alexandria).

Cell lengths 13.5652, 9.9819, 10.8634 Å; angles 90.00, 107.05, 90.00 degrees
Space group C2/m (No. 12)
One atom of each set of equivalent atoms:
Na  0.0463  0.1597  0.3915 (multiplicity 8)
Na  0.0546  0.5000  0.3700 (multiplicity 4)
Na  0.0902  0.3352  0.1174 (multiplicity 8)
Na  0.1639  0.1556  0.8697 (multiplicity 8)
Na  0.2105  0.3465  0.6253 (multiplicity 8)
Ti  0.1160  0.0000  0.1403 (multiplicity 4)
Ti  0.1396  0.5000  0.8659 (multiplicity 4)
Ti  0.2028  0.0000  0.6384 (multiplicity 4)
O  0.0000  0.0000  0.0000 (multiplicity 2)
O  0.0841  0.3487  0.9067 (multiplicity 8)
O  0.1131  0.5000  0.6929 (multiplicity 4)
O  0.1198  0.1498  0.6131 (multiplicity 8)
O  0.1243  0.1461  0.2377 (multiplicity 8)
O  0.2157  0.0000  0.0534 (multiplicity 4)
O  0.2172  0.5000  0.4692 (multiplicity 4)
O  0.2183  0.5000  0.1941 (multiplicity 4)

Output
Volume: 1406.29 Å³/cell
ρ: 2.4 g/cm³
D(E_F): 0.00 states/eV/cell


Stability verdict: A, ahead by 0.067 eV/atom


A | # Na6Ti2O7

Na6Ti2O7 after structural relaxation (PBEsol, Alexandria).

Cell lengths 5.9221, 8.5439, 10.7493 Å; angles 90.00, 123.17, 90.00 degrees
Space group Pc (No. 7)
One atom of each set of equivalent atoms:
Na  0.0000  0.0629  0.0000 (multiplicity 2)
Na  0.1920  0.4362  0.9124 (multiplicity 2)
Na  0.3146  0.2134  0.4279 (multiplicity 2)
Na  0.5025  0.4163  0.7203 (multiplicity 2)
Na  0.6892  0.0842  0.1918 (multiplicity 2)
Na  0.8771  0.2872  0.4842 (multiplicity 2)
Ti  0.3781  0.0937  0.8154 (multiplicity 2)
Ti  0.8140  0.4060  0.0972 (multiplicity 2)
O  0.0879  0.0492  0.8206 (multiplicity 2)
O  0.1040  0.4498  0.0917 (multiplicity 2)
O  0.2895  0.1506  0.6324 (multiplicity 2)
O  0.5916  0.0758  0.3729 (multiplicity 2)
O  0.5960  0.2493  0.9570 (multiplicity 2)
O  0.5999  0.4247  0.5389 (multiplicity 2)
O  0.9025  0.3505  0.2804 (multiplicity 2)

Output
Volume: 455.24 Å³/cell
ρ: 2.5 g/cm³
D(E_F): 0.00 states/eV/cell


B | # Na6Ti2O7

Na6Ti2O7 after structural relaxation (PBEsol, Alexandria).

Cell lengths 8.8571, 5.2328, 10.2827 Å; angles 90.00, 117.20, 90.00 degrees
Space group P2/c (No. 13)
One atom of each set of equivalent atoms:
Na  0.0661  0.1994  0.1528 (multiplicity 4)
Na  0.3354  0.2314  0.6204 (multiplicity 4)
Na  0.4286  0.2273  0.3649 (multiplicity 4)
Ti  0.2118  0.3036  0.8946 (multiplicity 4)
O  0.0000  0.1687  0.7500 (multiplicity 2)
O  0.1908  0.3554  0.3869 (multiplicity 4)
O  0.2737  0.2120  0.0832 (multiplicity 4)
O  0.3883  0.2297  0.8590 (multiplicity 4)

Output
Volume: 423.87 Å³/cell
ρ: 2.7 g/cm³
D(E_F): 0.00 states/eV/cell


Stability verdict: B, ahead by 0.036 eV/atom